Ti2V2Mo | PBE | relaxed

a b c (Å): 3.120 5.173 5.209
angles (deg): 86.63 72.73 72.54
Atoms (fractional coordinates):
Ti  0.194  0.217  0.395
Ti  0.806  0.783  0.605
V  0.395  0.381  0.830
V  0.605  0.619  0.170
Mo  0.000  0.000  0.000

excess energy over the best structure of this formula in the dataset = 0.00 eV/f.u.
space-group type = P-1